# 1
First-principles (PBE) data for a geometry-optimized MnSbCS2 structure, as listed in Alexandria.

a = 4.057 Å, b = 4.057 Å, c = 4.640 Å
α = 90.00°, β = 90.00°, γ = 90.00°
Fractional coordinates of all 5 atoms:
1 Mn 0.000 0.000 0.000
2 Sb 0.500 0.500 0.000
3 C 0.500 0.500 0.500
4 S 0.000 0.500 0.500
5 S 0.500 0.000 0.500

Calculated values
- ΔE_f (raw): 1449.3 meV per atom
- Space-group type: P4/mmm, No. 123
- Crystal system: tetragonal



# 2
First-principles (PBE) data for a geometry-optimized MnSiCS2 structure, as listed in Alexandria.

a = 4.285 Å, b = 4.285 Å, c = 3.581 Å
α = 90.00°, β = 90.00°, γ = 90.00°
Fractional coordinates of all 5 atoms:
1 Mn 0.000 0.000 0.000
2 Si 0.500 0.500 0.000
3 C 0.500 0.500 0.500
4 S 0.000 0.500 0.500
5 S 0.500 0.000 0.500

Calculated values
- ΔE_f (raw): 1275.9 meV per atom
- Space-group type: P4/mmm, No. 123
- Crystal system: tetragonal



# 3
First-principles (PBE) data for a geometry-optimized Ta6MnC3S6 structure, as listed in Alexandria.

a = 5.745 Å, b = 5.745 Å, c = 9.028 Å
α = 96.09°, β = 96.09°, γ = 119.99°
Fractional coordinates of all 16 atoms:
1 Ta 0.123 0.123 0.371
2 Ta 0.210 0.544 0.631
3 Ta 0.456 0.790 0.369
4 Ta 0.544 0.210 0.631
5 Ta 0.790 0.456 0.369
6 Ta 0.877 0.877 0.629
7 Mn 0.000 0.000 0.000
8 C 0.168 0.832 0.500
9 C 0.500 0.500 0.500
10 C 0.832 0.168 0.500
11 S 0.061 0.396 0.182
12 S 0.275 0.275 0.818
13 S 0.396 0.061 0.182
14 S 0.604 0.939 0.818
15 S 0.725 0.725 0.182
16 S 0.939 0.604 0.818

Calculated values
- ΔE_f (raw): -882.3 meV per atom
- Space-group type: C2/m, No. 12
- Crystal system: monoclinic



# 4
First-principles (PBE) data for a geometry-optimized MnVCS2 structure, as listed in Alexandria.

a = 4.185 Å, b = 4.185 Å, c = 3.554 Å
α = 90.00°, β = 90.00°, γ = 90.00°
Fractional coordinates of all 5 atoms:
1 Mn 0.000 0.000 0.000
2 V 0.500 0.500 0.000
3 C 0.000 0.000 0.500
4 S 0.000 0.500 0.500
5 S 0.500 0.000 0.500

Calculated values
- ΔE_f (raw): 929.2 meV per atom
- Space-group type: P4/mmm, No. 123
- Crystal system: tetragonal



# 5
First-principles (PBE) data for a geometry-optimized Mn3SbC structure, as listed in Alexandria.

a = 3.882 Å, b = 3.882 Å, c = 3.882 Å
α = 90.00°, β = 90.00°, γ = 90.00°
Fractional coordinates of all 5 atoms:
1 Mn 0.000 0.000 0.500
2 Mn 0.000 0.500 0.000
3 Mn 0.500 0.000 0.000
4 Sb 0.500 0.500 0.500
5 C 0.000 0.000 0.000

Calculated values
- ΔE_f (raw): 63.4 meV per atom
- Space-group type: Pm-3m, No. 221
- Crystal system: cubic



# 6
First-principles (PBE) data for a geometry-optimized MnSb2C structure, as listed in Alexandria.

a = 5.947 Å, b = 5.947 Å, c = 9.808 Å
α = 90.00°, β = 90.00°, γ = 90.00°
Fractional coordinates of all 16 atoms:
1 Mn 0.000 0.000 0.000
2 Mn 0.000 0.500 0.250
3 Mn 0.500 0.000 0.750
4 Mn 0.500 0.500 0.500
5 Sb 0.194 0.250 0.625
6 Sb 0.250 0.694 0.875
7 Sb 0.250 0.806 0.375
8 Sb 0.306 0.250 0.125
9 Sb 0.694 0.750 0.125
10 Sb 0.750 0.194 0.375
11 Sb 0.750 0.306 0.875
12 Sb 0.806 0.750 0.625
13 C 0.000 0.000 0.500
14 C 0.000 0.500 0.750
15 C 0.500 0.000 0.250
16 C 0.500 0.500 0.000

Calculated values
- ΔE_f (raw): 854.8 meV per atom
- Space-group type: I-42d, No. 122
- Crystal system: tetragonal